This record from the Alexandria database describes Pr2NdTmSc after structural relaxation. The functional is GGA-PBE.

Cell: 7.070 7.070 7.265 Å, 90.00 90.00 108.15°
Element x y z (fractional)
Pr: 0.200 0.200 0.000
Pr: 0.200 0.200 0.500
Pr: 0.800 0.800 0.000
Pr: 0.800 0.800 0.500
Nd: 0.230 0.770 0.750
Nd: 0.770 0.230 0.250
Tm: 0.240 0.760 0.250
Tm: 0.760 0.240 0.750
Sc: 0.492 0.508 0.750
Sc: 0.508 0.492 0.250

## Properties
DOS(E_F) = 6.63 states/eV/f.u.
Formation energy from the elements = 0.36 eV/atom
Energy = -0.1716 Ha/atom